Entry 1:
Entry from the Alexandria database: crystalline KLiSnO2 at its relaxed geometry (GGA-PBEsol).

Calculated values
E_form (uncorrected), eV per atom: -1.55
N(E_F), states/eV/cell: 0.00
Size of the total moment, μB per formula unit: 0.0

```
KLiSnO2
1.0
6.567 -1.657 0.000
6.567 1.657 0.000
-5.243 0.000 8.190
K Li Sn O
2 2 2 4
Direct
0.017 0.017 0.235 K
0.983 0.983 0.765 K
0.264 0.264 0.924 Li
0.736 0.736 0.076 Li
0.310 0.310 0.348 Sn
0.690 0.690 0.652 Sn
0.312 0.312 0.761 O
0.332 0.332 0.155 O
0.668 0.668 0.845 O
0.688 0.688 0.239 O
```



Entry 2:
Entry from the Alexandria database: crystalline YScSe3 at its relaxed geometry (GGA-PBEsol).

Calculated values
E_form (uncorrected), eV per atom: -1.79
Size of the total moment, μB per formula unit: 0.0

```
YScSe3
1.0
3.377 -5.977 0.000
3.377 5.977 0.000
-2.233 0.000 6.233
Y Sc Se
2 2 6
Direct
0.168 0.832 0.000 Y
0.832 0.168 0.000 Y
0.000 0.000 0.500 Sc
0.500 0.500 0.000 Sc
0.100 0.413 0.744 Se
0.253 0.253 0.259 Se
0.413 0.100 0.744 Se
0.587 0.900 0.256 Se
0.747 0.747 0.741 Se
0.900 0.587 0.256 Se
```



Entry 3:
Entry from the Alexandria database: crystalline TeRhSe2 at its relaxed geometry (GGA-PBEsol).

Calculated values
E_form (uncorrected), eV per atom: 0.35
N(E_F), states/eV/cell: 4.31
Size of the total moment, μB per formula unit: 0.0

```
TeRhSe2
1.0
4.871 0.000 0.000
0.000 4.871 0.000
0.000 0.000 6.286
Te Rh Se
2 2 4
Direct
0.000 0.000 0.000 Te
0.500 0.500 0.500 Te
0.000 0.500 0.250 Rh
0.500 0.000 0.750 Rh
0.000 0.000 0.500 Se
0.000 0.500 0.750 Se
0.500 0.000 0.250 Se
0.500 0.500 0.000 Se
```



Entry 4:
Entry from the Alexandria database: crystalline InPCl at its relaxed geometry (GGA-PBEsol).

Calculated values
E_form (uncorrected), eV per atom: 0.14
Polymorph energy (0 for the lowest one), meV per atom: 159.6
N(E_F), states/eV/cell: 3.14
Size of the total moment, μB per formula unit: 0.0

```
InPCl
1.0
3.226 0.000 0.000
0.000 3.226 0.000
0.000 0.000 12.328
In P Cl
2 2 2
Direct
0.000 0.000 0.000 In
0.500 0.500 0.500 In
0.000 0.000 0.631 P
0.500 0.500 0.131 P
0.000 0.000 0.356 Cl
0.500 0.500 0.856 Cl
```



Entry 5:
Entry from the Alexandria database: crystalline KSrSeBr2 at its relaxed geometry (GGA-PBEsol).

Calculated values
E_form (uncorrected), eV per atom: -0.88
N(E_F), states/eV/cell: 4.17
Size of the total moment, μB per formula unit: 1.0

```
KSrSeBr2
1.0
5.643 0.000 0.000
0.000 5.643 0.000
0.000 0.000 5.672
K Sr Se Br
1 1 1 2
Direct
0.000 0.000 0.000 K
0.500 0.500 0.500 Sr
0.000 0.000 0.500 Se
0.000 0.500 0.000 Br
0.500 0.000 0.000 Br
```



Entry 6:
Entry from the Alexandria database: crystalline AsOsPbW2 at its relaxed geometry (GGA-PBEsol).

Calculated values
N(E_F), states/eV/cell: 5.76
E_form, meV/atom: 1612
Size of the total moment, μB per formula unit: 0.0

```
AsOsPbW2
1.0
4.641 0.000 0.000
0.000 4.641 0.000
0.000 0.000 4.526
As Os Pb W
1 1 1 2
Direct
0.000 0.000 0.000 As
0.000 0.000 0.500 Os
0.500 0.500 0.500 Pb
0.000 0.500 0.000 W
0.500 0.000 0.000 W
```



Entry 7:
Entry from the Alexandria database: crystalline LiAg2Pb at its relaxed geometry (GGA-PBEsol).

Calculated values
N(E_F), states/eV/cell: 1.21
E_form, meV/atom: -82
Size of the total moment, μB per formula unit: 0.0

```
LiAg2Pb
1.0
3.334 0.000 0.000
0.000 3.334 0.000
0.000 0.000 6.759
Li Ag Pb
1 2 1
Direct
0.000 0.000 0.000 Li
0.000 0.000 0.574 Ag
0.500 0.500 0.801 Ag
0.500 0.500 0.284 Pb
```



Entry 8:
Entry from the Alexandria database: crystalline KZrMo2 at its relaxed geometry (GGA-PBEsol).

Calculated values
Polymorph energy (0 for the lowest one), meV per atom: 0.0
N(E_F), states/eV/cell: 4.74
E_form, meV/atom: 880
Size of the total moment, μB per formula unit: 0.0

```
KZrMo2
1.0
2.684 0.000 0.000
0.000 4.837 0.000
0.000 0.000 7.391
K Zr Mo
1 1 2
Direct
0.000 0.000 0.000 K
0.000 0.000 0.500 Zr
0.500 0.500 0.340 Mo
0.500 0.500 0.660 Mo
```



Entry 9:
Entry from the Alexandria database: crystalline NaTlS2 at its relaxed geometry (GGA-PBEsol).

Calculated values
E_form (uncorrected), eV per atom: -0.54
Size of the total moment, μB per formula unit: 0.0

```
NaTlS2
1.0
6.492 0.000 0.000
0.000 6.492 0.000
0.000 0.000 10.385
Na Tl S
4 4 8
Direct
0.000 0.000 0.000 Na
0.000 0.500 0.250 Na
0.500 0.000 0.750 Na
0.500 0.500 0.500 Na
0.000 0.000 0.500 Tl
0.000 0.500 0.750 Tl
0.500 0.000 0.250 Tl
0.500 0.500 0.000 Tl
0.221 0.750 0.625 S
0.250 0.221 0.375 S
0.250 0.279 0.875 S
0.279 0.750 0.125 S
0.721 0.250 0.125 S
0.750 0.721 0.875 S
0.750 0.779 0.375 S
0.779 0.250 0.625 S
```



Entry 10:
Entry from the Alexandria database: crystalline K2SrAu at its relaxed geometry (GGA-PBEsol).

Calculated values
Polymorph energy (0 for the lowest one), meV per atom: 0.0
N(E_F), states/eV/cell: 2.25
E_form, meV/atom: -90
Size of the total moment, μB per formula unit: 0.0

```
K2SrAu
1.0
6.187 0.000 0.000
0.000 4.533 0.000
-3.082 0.000 6.817
K Sr Au
2 1 1
Direct
0.164 0.000 0.328 K
0.836 0.000 0.672 K
0.500 0.500 0.000 Sr
0.000 0.500 0.000 Au
```



Entry 11:
Entry from the Alexandria database: crystalline SbPNO2 at its relaxed geometry (GGA-PBEsol).

Calculated values
E_form (uncorrected), eV per atom: -0.40
N(E_F), states/eV/cell: 1.42
Size of the total moment, μB per formula unit: 0.0

```
SbPNO2
1.0
3.660 0.000 0.000
0.000 3.660 0.000
0.000 0.000 3.808
Sb P N O
1 1 1 2
Direct
0.000 0.000 0.000 Sb
0.500 0.500 0.500 P
0.500 0.500 0.000 N
0.000 0.500 0.500 O
0.500 0.000 0.500 O
```



Entry 12:
Entry from the Alexandria database: crystalline Be2FeTe at its relaxed geometry (GGA-PBEsol).

Calculated values
E_form (uncorrected), eV per atom: 0.23
N(E_F), states/eV/cell: 7.80
Size of the total moment, μB per formula unit: 0.4

```
Be2FeTe
1.0
3.759 0.000 0.000
-1.880 3.256 0.000
0.000 0.000 12.727
Be Fe Te
6 3 3
Direct
0.000 0.000 0.000 Be
0.000 0.000 0.297 Be
0.333 0.667 0.667 Be
0.333 0.667 0.963 Be
0.667 0.333 0.333 Be
0.667 0.333 0.630 Be
0.000 0.000 0.605 Fe
0.333 0.667 0.272 Fe
0.667 0.333 0.938 Fe
0.000 0.000 0.806 Te
0.333 0.667 0.473 Te
0.667 0.333 0.140 Te
```



Computed V, in the same sequence as the records: 178.2 251.6 149.1 128.3 180.6 97.5 75.1 95.9 437.7 191.2 51.0 155.8 Å³ per cell.